(1)
First-principles (GGA-PBE) data for a relaxed BeAl2Cu crystal, as listed in Alexandria.

Geometry as POSCAR:
```
BeAl2Cu
1.0
4.232 0.000 0.000
2.116 3.665 0.000
2.116 1.222 3.456
Al Be Cu
2 1 1
direct
0.000 0.000 0.000
0.250 0.250 0.250
0.500 0.500 0.500
0.750 0.750 0.750
```

Results
Volume: 13.40 Å³ per atom
Symmetry: F-43m, No. 216
DFT formation energy: 4.78 kcal/mol of atoms
Fermi-level density of states: 1.2 states/eV per cell

=====

(2)
First-principles (GGA-PBE) data for a relaxed TbEr2Tl crystal, as listed in Alexandria.

Geometry as POSCAR:
```
TbEr2Tl
1.0
3.573 0.000 0.000
1.787 3.094 0.000
1.785 1.031 10.871
Tl Tb Er
1 1 2
direct
0.667 0.667 0.000
0.500 0.500 0.500
0.079 0.079 0.762
0.254 0.254 0.238
```

Results
Volume: 30.05 Å³ per atom
Symmetry: R3m, No. 160
Offset from the most stable computed form: 66 meV per atom
DFT formation energy: -2.48 kcal/mol of atoms
Fermi-level density of states: 5.1 states/eV per cell

=====

(3)
First-principles (GGA-PBE) data for a relaxed MgTa3 crystal, as listed in Alexandria.

Geometry as POSCAR:
```
MgTa3
1.0
-0.708 -3.404 -3.176
1.481 -4.383 0.876
-3.126 -3.413 0.864
Mg Ta
1 3
direct
0.000 0.000 0.000
0.500 0.500 0.500
0.250 0.250 0.250
0.750 0.750 0.750
```

Results
Volume: 18.45 Å³ per atom
Symmetry: Fm-3m, No. 225
Offset from the most stable computed form: 167 meV per atom
DFT formation energy: 6.99 kcal/mol of atoms
Fermi-level density of states: 4.7 states/eV per cell

=====

(4)
First-principles (GGA-PBE) data for a relaxed La2FeRu crystal, as listed in Alexandria.

Geometry as POSCAR:
```
La2FeRu
1.0
-1.152 -1.576 -7.702
-1.726 -5.009 -5.922
-4.599 -2.361 -6.034
La Fe Ru
2 1 1
direct
0.492 0.492 0.492
0.008 0.008 0.008
0.250 0.250 0.250
0.750 0.750 0.750
```

Results
Volume: 25.20 Å³ per atom
Symmetry: R-3m, No. 166
DFT formation energy: 7.87 kcal/mol of atoms
Fermi-level density of states: 5.3 states/eV per cell

=====

(5)
First-principles (GGA-PBE) data for a relaxed K8Bi2Br crystal, as listed in Alexandria.

Geometry as POSCAR:
```
K8Bi2Br
1.0
5.820 0.000 -1.527
-0.550 8.051 -2.095
-0.088 -1.161 11.517
K Bi Br
8 2 1
direct
0.974 0.727 0.949
0.026 0.273 0.051
0.674 0.396 0.349
0.220 0.122 0.441
0.326 0.604 0.651
0.597 0.767 0.193
0.403 0.233 0.807
0.780 0.878 0.559
0.834 0.342 0.669
0.166 0.658 0.331
0.500 0.000 0.000
```

Results
Volume: 47.58 Å³ per atom
Formation energy (no corrections): -0.533 eV per atom
Symmetry: C2/m, No. 12
Fermi-level density of states: 2.8 states/eV per cell

=====

(6)
First-principles (GGA-PBE) data for a relaxed Al2CdIr crystal, as listed in Alexandria.

Geometry as POSCAR:
```
Al2CdIr
1.0
-1.211 2.647 0.109
-2.386 -1.143 1.218
3.163 1.147 7.274
Ir Al Cd
1 2 1
direct
0.500 0.500 0.750
0.000 0.000 0.549
0.000 0.000 0.951
0.500 0.500 0.250
```

Results
Volume: 17.00 Å³ per atom
Symmetry: P4/mmm, No. 123
DFT formation energy: -7.89 kcal/mol of atoms
Fermi-level density of states: 1.6 states/eV per cell

=====

(7)
First-principles (GGA-PBE) data for a relaxed Sm11Mg9Zn4 crystal, as listed in Alexandria.

Geometry as POSCAR:
```
Sm11Mg9Zn4
1.0
3.780 0.000 0.000
0.000 12.535 -5.404
0.000 -0.043 13.650
Mg Zn Sm
9 4 11
direct
0.500 0.064 0.213
0.500 0.634 0.147
0.500 0.936 0.787
0.500 0.853 0.366
0.500 0.500 0.500
0.500 0.787 0.936
0.500 0.147 0.634
0.500 0.213 0.064
0.500 0.366 0.853
0.500 0.263 0.451
0.500 0.451 0.263
0.500 0.737 0.549
0.500 0.549 0.737
0.000 0.077 0.416
0.000 0.923 0.584
0.000 0.160 0.840
0.000 0.840 0.160
0.000 0.000 0.000
0.000 0.641 0.359
0.000 0.359 0.641
0.000 0.714 0.714
0.000 0.286 0.286
0.000 0.584 0.923
0.000 0.416 0.077
```

Results
Volume: 26.92 Å³ per atom
Symmetry: Cmmm, No. 65
DFT formation energy: -3.63 kcal/mol of atoms
Fermi-level density of states: 27.8 states/eV per cell

=====

(8)
First-principles (GGA-PBE) data for a relaxed TmFeGe3Ru crystal, as listed in Alexandria.

Geometry as POSCAR:
```
TmFeGe3Ru
1.0
5.444 0.000 0.000
0.000 7.692 0.000
0.000 -3.846 5.734
Ge Ru Fe Tm
6 2 2 2
direct
0.250 0.230 0.460
0.500 0.758 0.000
0.000 0.758 0.000
0.750 0.770 0.540
0.000 0.242 0.000
0.500 0.242 0.000
0.250 0.433 0.866
0.750 0.567 0.134
0.250 0.041 0.082
0.750 0.959 0.918
0.750 0.308 0.617
0.250 0.692 0.383
```

Results
Volume: 20.01 Å³ per atom
Symmetry: Cmcm, No. 63
DFT formation energy: -3.38 kcal/mol of atoms
Fermi-level density of states: 4.7 states/eV per cell

=====

(9)
First-principles (GGA-PBE) data for a relaxed Zr4CuRh crystal, as listed in Alexandria.

Geometry as POSCAR:
```
Zr4CuRh
1.0
-0.365 1.050 -5.869
7.262 0.334 -0.392
0.560 -6.453 4.890
Rh Zr Cu
2 8 2
direct
0.500 0.500 0.000
0.000 0.000 0.000
0.757 0.364 0.756
0.996 0.250 0.246
0.743 0.864 0.244
0.496 0.250 0.246
0.257 0.136 0.756
0.004 0.750 0.754
0.504 0.750 0.754
0.243 0.636 0.244
0.500 0.000 0.500
0.000 0.500 0.500
```

Results
Volume: 19.91 Å³ per atom
Symmetry: Pmna, No. 53
Offset from the most stable computed form: 117 meV per atom
DFT formation energy: -5.36 kcal/mol of atoms
Fermi-level density of states: 15.1 states/eV per cell

=====

(10)
First-principles (GGA-PBE) data for a relaxed TiMnAl2 crystal, as listed in Alexandria.

Geometry as POSCAR:
```
TiMnAl2
1.0
3.723 0.000 0.000
0.000 3.723 0.000
1.861 1.861 9.403
Al Ti Mn
4 2 2
direct
0.119 0.625 0.250
0.875 0.881 0.750
0.375 0.369 0.750
0.631 0.125 0.250
0.500 0.500 0.000
0.250 0.750 0.500
0.000 0.000 0.000
0.750 0.250 0.500
```

Results
Volume: 16.29 Å³ per atom
Symmetry: I-42d, No. 122
DFT formation energy: 4.92 kcal/mol of atoms
Fermi-level density of states: 5.5 states/eV per cell

=====

(11)
First-principles (GGA-PBE) data for a relaxed La3BiPd crystal, as listed in Alexandria.

Geometry as POSCAR:
```
La3BiPd
1.0
4.391 -0.001 -0.001
0.002 9.140 0.015
0.002 3.192 8.570
Bi La Pd
2 6 2
direct
0.363 0.694 0.746
0.863 0.194 0.246
0.864 0.008 0.676
0.864 0.381 0.817
0.863 0.623 0.060
0.863 0.765 0.433
0.363 0.027 0.079
0.363 0.361 0.414
0.364 0.194 0.746
0.363 0.694 0.246
```

Results
Volume: 34.37 Å³ per atom
Symmetry: Cmmm, No. 65
Offset from the most stable computed form: 0 meV per atom
DFT formation energy: -13.85 kcal/mol of atoms
Fermi-level density of states: 11.8 states/eV per cell

=====

Please write out number 3 again, unchanged.
First-principles (GGA-PBE) data for a relaxed MgTa3 crystal, as listed in Alexandria.

Geometry as POSCAR:
```
MgTa3
1.0
-0.708 -3.404 -3.176
1.481 -4.383 0.876
-3.126 -3.413 0.864
Mg Ta
1 3
direct
0.000 0.000 0.000
0.500 0.500 0.500
0.250 0.250 0.250
0.750 0.750 0.750
```

Results
Volume: 18.45 Å³ per atom
Symmetry: Fm-3m, No. 225
Offset from the most stable computed form: 167 meV per atom
DFT formation energy: 6.99 kcal/mol of atoms
Fermi-level density of states: 4.7 states/eV per cell

=====

Question: Number 1 is which compound?
Answer: BeAl2Cu

=====

Question: volume of number 4 (La2FeRu)?
Answer: 25.20 Å³ per atom